MgNiW: optimized geometry, GGA-PBE.

The energy of formation from the pure elements is 1.6 eV per formula unit. The energy above the lowest structure with this stoichiometry is 459 meV per atom.

```
data_MgNiW
_space_group_name_H-M_alt 'P 1'
_space_group_IT_number 1
_cell_length_a 4.099
_cell_length_b 4.099
_cell_length_c 4.099
_cell_angle_alpha 60.00
_cell_angle_beta 60.00
_cell_angle_gamma 60.00
loop_
_space_group_symop_operation_xyz
'x,y,z'
loop_
_atom_site_label
_atom_site_fract_x
_atom_site_fract_y
_atom_site_fract_z
Ni1 0.500 0.500 0.500
Mg1 0.750 0.750 0.750
W1 0.250 0.250 0.250
```